[1]
This record from Alexandria describes a relaxed Na2TlCl3 crystal. The functional is PBE.

Cell: 7.4519 7.4519 10.5541 Å, 90.00 90.00 145.21°
Last column: nearest neighbours and their distance in Å.
Sites, in units of the cell vectors:
Na 0.0000 0.0000 0.0000  6 Cl 2.90-2.92
Na 0.0000 0.0000 0.5000  6 Cl 2.90-2.92
Na 0.4892 0.5108 0.7500  4 Cl 2.61
Na 0.5108 0.4892 0.2500  4 Cl 2.61
Tl 0.2415 0.7585 0.2500  6 Cl 3.33-3.44
Tl 0.7585 0.2415 0.7500  6 Cl 3.33-3.44
Cl 0.0843 0.9157 0.7500  4 Na 2.61-2.90
Cl 0.3740 0.6260 0.5570  3 Na 2.61-2.92
Cl 0.3740 0.6260 0.9430  3 Na 2.61-2.92
Cl 0.6260 0.3740 0.0570  3 Na 2.61-2.92
Cl 0.6260 0.3740 0.4430  3 Na 2.61-2.92
Cl 0.9157 0.0843 0.2500  4 Na 2.61-2.90

Output
The density of states at the Fermi level is 0.000 states/eV per cell. The calculation puts the formation energy (no corrections) at -1451 meV per atom. As for the space-group type: Cmcm (63). For the density, the calculation gives 3.5 g/cm³.

---

[2]
This record from Alexandria describes a relaxed Na3TlCl4 crystal. The functional is PBE.

Cell: 6.0269 9.9180 8.4995 Å, 90.00 90.00 90.00°
Last column: nearest neighbours and their distance in Å.
Sites, in units of the cell vectors:
Na 0.2500 0.9999 0.1656  5 Cl 2.71-3.02
Na 0.2500 0.2500 0.6752  5 Cl 2.70-3.02
Na 0.2500 0.5001 0.1656  5 Cl 2.71-3.02
Na 0.7500 0.0001 0.8344  5 Cl 2.71-3.02
Na 0.7500 0.4999 0.8344  5 Cl 2.71-3.02
Na 0.7500 0.7500 0.3248  5 Cl 2.70-3.02
Tl 0.2500 0.7500 0.6692  5 Cl 3.01-3.11
Tl 0.7500 0.2500 0.3308  5 Cl 3.01-3.11
Cl 0.2500 0.0216 0.8475  2 Na 2.70-2.71
Cl 0.2500 0.2500 0.3408  3 Na 2.84-2.89, 2 Tl 3.01
Cl 0.2500 0.4784 0.8475  2 Na 2.70-2.71
Cl 0.2500 0.7500 0.3035  4 Na 2.74-3.02
Cl 0.7500 0.2500 0.6965  4 Na 2.74-3.02
Cl 0.7500 0.5216 0.1525  2 Na 2.70-2.71
Cl 0.7500 0.7500 0.6592  3 Na 2.84-2.89, 2 Tl 3.01
Cl 0.7500 0.9784 0.1525  2 Na 2.70-2.71

Output
The density of states at the Fermi level is 0.000 states/eV per cell. The calculation puts the formation energy (no corrections) at -1547 meV per atom. As for the space-group type: Pmmn (59). For the density, the calculation gives 2.7 g/cm³.

---

[3]
This record from Alexandria describes a relaxed Na6Tl3Cl14 crystal. The functional is PBE.

Cell: 10.5903 10.5903 6.9514 Å, 90.00 90.00 120.00°
Last column: nearest neighbours and their distance in Å.
Sites, in units of the cell vectors:
Na 0.1120 0.3640 0.0000  4 Cl 2.75-2.96
Na 0.2520 0.8880 0.0000  4 Cl 2.75-2.96
Na 0.4484 0.3612 0.4867  6 Cl 2.74-3.04
Na 0.6360 0.7480 0.0000  4 Cl 2.75-2.96
Na 0.6388 0.0872 0.4867  6 Cl 2.74-3.04
Na 0.9128 0.5516 0.4867  6 Cl 2.74-3.04
Tl 0.0000 0.0000 0.5767  4 Cl 2.43-2.50
Tl 0.3333 0.6667 0.5649  6 Cl 2.63-2.68
Tl 0.6667 0.3333 0.0472  4 Cl 2.70-2.72
Cl 0.0000 0.0000 0.2269  1 Tl 2.43
Cl 0.1066 0.5867 0.8022  1 Tl 2.68, 2 Na 2.75-2.90
Cl 0.1832 0.7516 0.3533  1 Tl 2.63, 2 Na 2.74-2.76
Cl 0.2437 0.1018 0.7343  1 Tl 2.50
Cl 0.2484 0.4316 0.3533  1 Tl 2.63, 2 Na 2.74-2.76
Cl 0.4133 0.5199 0.8022  1 Tl 2.68, 2 Na 2.75-2.90
Cl 0.4320 0.1307 0.2418  1 Tl 2.70, 3 Na 2.86-2.99
Cl 0.4801 0.8934 0.8022  1 Tl 2.68, 2 Na 2.75-2.90
Cl 0.5684 0.8168 0.3533  1 Tl 2.63, 2 Na 2.74-2.76
Cl 0.6667 0.3333 0.6556  1 Tl 2.72, 3 Na 2.74
Cl 0.6987 0.5680 0.2418  1 Tl 2.70, 3 Na 2.86-2.99
Cl 0.8581 0.7563 0.7343  1 Tl 2.50
Cl 0.8693 0.3013 0.2418  1 Tl 2.70, 3 Na 2.86-2.99
Cl 0.8982 0.1419 0.7343  1 Tl 2.50

Output
The density of states at the Fermi level is 3.158 states/eV per cell. The calculation puts the formation energy (no corrections) at -1239 meV per atom. As for the space-group type: P3 (143). For the density, the calculation gives 3.1 g/cm³.

---

[4]
This record from Alexandria describes a relaxed Na6TlCl8 crystal. The functional is PBE.

Cell: 8.1083 8.1083 8.1083 Å, 60.00 60.00 60.00°
Last column: nearest neighbours and their distance in Å.
Sites, in units of the cell vectors:
Na 0.0000 0.0000 0.5000  6 Cl 2.87
Na 0.0000 0.5000 0.0000  6 Cl 2.87
Na 0.0000 0.5000 0.5000  6 Cl 2.87
Na 0.5000 0.0000 0.0000  6 Cl 2.87
Na 0.5000 0.0000 0.5000  6 Cl 2.87
Na 0.5000 0.5000 0.0000  6 Cl 2.87
Tl 0.0000 0.0000 0.0000  6 Cl 2.85
Cl 0.2486 0.2486 0.7514  1 Tl 2.85, 4 Na 2.87
Cl 0.2486 0.7514 0.2486  1 Tl 2.85, 4 Na 2.87
Cl 0.2486 0.7514 0.7514  1 Tl 2.85, 4 Na 2.87
Cl 0.2500 0.2500 0.2500  6 Na 2.87
Cl 0.7500 0.7500 0.7500  6 Na 2.87
Cl 0.7514 0.2486 0.2486  1 Tl 2.85, 4 Na 2.87
Cl 0.7514 0.2486 0.7514  1 Tl 2.85, 4 Na 2.87
Cl 0.7514 0.7514 0.2486  1 Tl 2.85, 4 Na 2.87

Output
The density of states at the Fermi level is 4.929 states/eV per cell. The calculation puts the formation energy (no corrections) at -1569 meV per atom. As for the space-group type: Fm-3m (225). For the density, the calculation gives 2.8 g/cm³.

---

[5]
This record from Alexandria describes a relaxed NaTlCl2 crystal. The functional is PBE.

Cell: 3.6728 3.6728 7.5480 Å, 90.00 90.00 90.00°
Last column: nearest neighbours and their distance in Å.
Sites, in units of the cell vectors:
Na 0.0000 0.0000 0.0000  8 Cl 3.11
Tl 0.0000 0.0000 0.5000  8 Cl 3.32, 4 Tl 3.67
Cl 0.5000 0.5000 0.2257  4 Na 3.11, 4 Tl 3.32, 1 Cl 3.41
Cl 0.5000 0.5000 0.7743  4 Na 3.11, 4 Tl 3.32, 1 Cl 3.41

Output
The density of states at the Fermi level is 0.000 states/eV per cell. The calculation puts the formation energy (no corrections) at -1291 meV per atom. As for the space-group type: P4/mmm (123). For the density, the calculation gives 4.9 g/cm³.

---

[6]
This record from Alexandria describes a relaxed Na4TlCl5 crystal. The functional is PBE.

Cell: 11.0611 11.0611 11.0611 Å, 158.69 148.48 38.36°
Last column: nearest neighbours and their distance in Å.
Sites, in units of the cell vectors:
Na 0.1045 0.1045 0.0000  6 Cl 2.83-3.01
Na 0.2932 0.2932 0.0000  6 Cl 2.79-3.01
Na 0.7068 0.7068 0.0000  6 Cl 2.79-3.01
Na 0.8955 0.8955 0.0000  6 Cl 2.83-3.01
Tl 0.5000 0.5000 0.0000  6 Cl 3.00-3.17
Cl 0.0000 0.5000 0.5000  4 Na 2.99, 2 Tl 3.00
Cl 0.1981 0.6981 0.5000  6 Na 2.83-3.01
Cl 0.3838 0.8838 0.5000  4 Na 2.79-3.01
Cl 0.6162 0.1162 0.5000  4 Na 2.79-3.01
Cl 0.8019 0.3019 0.5000  6 Na 2.83-3.01

Output
The density of states at the Fermi level is 0.000 states/eV per cell. The calculation puts the formation energy (no corrections) at -1618 meV per atom. As for the space-group type: Immm (71). For the density, the calculation gives 3.1 g/cm³.

---

[7]
This record from Alexandria describes a relaxed NaTlCl2 crystal. The functional is PBE.

Cell: 4.2455 4.2455 21.7695 Å, 90.00 90.00 120.00°
Last column: nearest neighbours and their distance in Å.
Sites, in units of the cell vectors:
Na 0.0000 0.0000 0.0000  6 Cl 2.89
Na 0.3333 0.6667 0.6667  6 Cl 2.89
Na 0.6667 0.3333 0.3333  6 Cl 2.89
Tl 0.0000 0.0000 0.5000  6 Cl 3.22
Tl 0.3333 0.6667 0.1667  6 Cl 3.22
Tl 0.6667 0.3333 0.8333  6 Cl 3.22
Cl 0.0000 0.0000 0.2626  3 Na 2.89, 3 Tl 3.22
Cl 0.0000 0.0000 0.7374  3 Na 2.89, 3 Tl 3.22
Cl 0.3333 0.6667 0.4041  3 Na 2.89, 3 Tl 3.22
Cl 0.3333 0.6667 0.9293  3 Na 2.89, 3 Tl 3.22
Cl 0.6667 0.3333 0.0707  3 Na 2.89, 3 Tl 3.22
Cl 0.6667 0.3333 0.5959  3 Na 2.89, 3 Tl 3.22

Output
The density of states at the Fermi level is 0.000 states/eV per cell. The calculation puts the formation energy (no corrections) at -1390 meV per atom. As for the space-group type: R-3m (166). For the density, the calculation gives 4.4 g/cm³.

---

[8]
This record from Alexandria describes a relaxed Na3Tl5Cl12 crystal. The functional is PBE.

Cell: 15.1983 15.1983 15.1983 Å, 109.47 109.47 109.47°
Last column: nearest neighbours and their distance in Å.
Sites, in units of the cell vectors:
Na 0.1250 0.2500 0.3750  8 Cl 3.27-3.29
Na 0.1250 0.3750 0.7500  8 Cl 3.27-3.29
Na 0.2500 0.3750 0.1250  8 Cl 3.27-3.29
Na 0.2500 0.8750 0.6250  8 Cl 3.27-3.29
Na 0.3750 0.1250 0.2500  8 Cl 3.27-3.29
Na 0.3750 0.7500 0.1250  8 Cl 3.27-3.29
Na 0.6250 0.2500 0.8750  8 Cl 3.27-3.29
Na 0.6250 0.8750 0.7500  8 Cl 3.27-3.29
Na 0.7500 0.1250 0.3750  8 Cl 3.27-3.29
Na 0.7500 0.6250 0.8750  8 Cl 3.27-3.29
Na 0.8750 0.6250 0.2500  8 Cl 3.27-3.29
Na 0.8750 0.7500 0.6250  8 Cl 3.27-3.29
Tl 0.0000 0.0000 0.0000  6 Cl 3.11
Tl 0.0000 0.0000 0.5000  6 Cl 3.11
Tl 0.0000 0.5000 0.0000  6 Cl 3.11
Tl 0.0000 0.5000 0.5000  6 Cl 3.11
Tl 0.1250 0.7500 0.8750  4 Cl 2.63
Tl 0.1250 0.8750 0.2500  4 Cl 2.63
Tl 0.2500 0.1250 0.8750  4 Cl 2.63
Tl 0.2500 0.6250 0.3750  4 Cl 2.63
Tl 0.3750 0.2500 0.6250  4 Cl 2.63
Tl 0.3750 0.6250 0.7500  4 Cl 2.63
Tl 0.5000 0.0000 0.0000  6 Cl 3.11
Tl 0.5000 0.0000 0.5000  6 Cl 3.11
Tl 0.5000 0.5000 0.0000  6 Cl 3.11
Tl 0.5000 0.5000 0.5000  6 Cl 3.11
Tl 0.6250 0.3750 0.2500  4 Cl 2.63
Tl 0.6250 0.7500 0.3750  4 Cl 2.63
Tl 0.7500 0.3750 0.6250  4 Cl 2.63
Tl 0.7500 0.8750 0.1250  4 Cl 2.63
Tl 0.8750 0.1250 0.7500  4 Cl 2.63
Tl 0.8750 0.2500 0.1250  4 Cl 2.63
Cl 0.0437 0.2300 0.1375  1 Tl 2.63
Cl 0.0437 0.3137 0.9061  1 Tl 2.63
Cl 0.0925 0.7300 0.6863  1 Tl 2.63
Cl 0.0925 0.8625 0.4061  1 Tl 2.63
Cl 0.0939 0.6375 0.4075  1 Tl 2.63
Cl 0.0939 0.9563 0.6863  1 Tl 2.63
Cl 0.1375 0.0437 0.2300  1 Tl 2.63
Cl 0.1375 0.5939 0.9075  1 Tl 2.63
Cl 0.1863 0.2300 0.5925  1 Tl 2.63
Cl 0.1863 0.4563 0.5939  1 Tl 2.63
Cl 0.2300 0.1375 0.0437  1 Tl 2.63
Cl 0.2300 0.5925 0.1863  1 Tl 2.63
Cl 0.2700 0.3137 0.9075  1 Tl 2.63
Cl 0.2700 0.4563 0.3625  1 Tl 2.63
Cl 0.3137 0.9061 0.0437  1 Tl 2.63
Cl 0.3137 0.9075 0.2700  1 Tl 2.63
Cl 0.3625 0.2700 0.4563  1 Tl 2.63
Cl 0.3625 0.5925 0.9061  1 Tl 2.63
Cl 0.4061 0.0925 0.8625  1 Tl 2.63
Cl 0.4061 0.8137 0.5437  1 Tl 2.63
Cl 0.4075 0.0939 0.6375  1 Tl 2.63
Cl 0.4075 0.8137 0.7700  1 Tl 2.63
Cl 0.4563 0.3625 0.2700  1 Tl 2.63
Cl 0.4563 0.5939 0.1863  1 Tl 2.63
Cl 0.5437 0.4061 0.8137  1 Tl 2.63
Cl 0.5437 0.6375 0.7300  1 Tl 2.63
Cl 0.5925 0.1863 0.2300  1 Tl 2.63
Cl 0.5925 0.9061 0.3625  1 Tl 2.63
Cl 0.5939 0.1863 0.4563  1 Tl 2.63
Cl 0.5939 0.9075 0.1375  1 Tl 2.63
Cl 0.6375 0.4075 0.0939  1 Tl 2.63
Cl 0.6375 0.7300 0.5437  1 Tl 2.63
Cl 0.6863 0.0925 0.7300  1 Tl 2.63
Cl 0.6863 0.0939 0.9563  1 Tl 2.63
Cl 0.7300 0.5437 0.6375  1 Tl 2.63
Cl 0.7300 0.6863 0.0925  1 Tl 2.63
Cl 0.7700 0.4075 0.8137  1 Tl 2.63
Cl 0.7700 0.8625 0.9563  1 Tl 2.63
Cl 0.8137 0.5437 0.4061  1 Tl 2.63
Cl 0.8137 0.7700 0.4075  1 Tl 2.63
Cl 0.8625 0.4061 0.0925  1 Tl 2.63
Cl 0.8625 0.9563 0.7700  1 Tl 2.63
Cl 0.9061 0.0437 0.3137  1 Tl 2.63
Cl 0.9061 0.3625 0.5925  1 Tl 2.63
Cl 0.9075 0.1375 0.5939  1 Tl 2.63
Cl 0.9075 0.2700 0.3137  1 Tl 2.63
Cl 0.9563 0.6863 0.0939  1 Tl 2.63
Cl 0.9563 0.7700 0.8625  1 Tl 2.63

Output
The density of states at the Fermi level is 55.516 states/eV per cell. The calculation puts the formation energy (no corrections) at -992 meV per atom. As for the space-group type: Ia-3d (230). For the density, the calculation gives 3.7 g/cm³.

---

[9]
This record from Alexandria describes a relaxed NaTlCl2 crystal. The functional is PBE.

Cell: 4.2736 4.2736 26.0476 Å, 90.00 90.00 120.00°
Last column: nearest neighbours and their distance in Å.
Sites, in units of the cell vectors:
Na 0.0000 0.0000 0.0000  6 Cl 2.89
Na 0.3333 0.6667 0.6667  6 Cl 2.89
Na 0.6667 0.3333 0.3333  6 Cl 2.89
Tl 0.0000 0.0000 0.5000  2 Cl 2.84
Tl 0.3333 0.6667 0.1667  2 Cl 2.84
Tl 0.6667 0.3333 0.8333  2 Cl 2.84
Cl 0.0000 0.0000 0.3908  1 Tl 2.84, 3 Na 2.89
Cl 0.0000 0.0000 0.6092  1 Tl 2.84, 3 Na 2.89
Cl 0.3333 0.6667 0.0575  1 Tl 2.84, 3 Na 2.89
Cl 0.3333 0.6667 0.2758  1 Tl 2.84, 3 Na 2.89
Cl 0.6667 0.3333 0.7242  1 Tl 2.84, 3 Na 2.89
Cl 0.6667 0.3333 0.9425  1 Tl 2.84, 3 Na 2.89

Output
The density of states at the Fermi level is 0.000 states/eV per cell. The calculation puts the formation energy (no corrections) at -1165 meV per atom. As for the space-group type: R-3m (166). For the density, the calculation gives 3.6 g/cm³.

---

[10]
This record from Alexandria describes a relaxed Na2UTlCl6 crystal. The functional is PBE.

Cell: 7.8472 7.8472 7.8472 Å, 55.66 55.66 55.66°
Last column: nearest neighbours and their distance in Å.
Sites, in units of the cell vectors:
Na 0.0000 0.0000 0.0000  6 Cl 2.80-2.93
Na 0.4864 0.4864 0.4864  6 Cl 2.84-2.97
U 0.6852 0.6852 0.6852  6 Cl 2.77
Tl 0.2031 0.2031 0.2031  6 Cl 3.15-3.34
Cl 0.0789 0.4141 0.7630  1 U 2.77, 2 Na 2.84-2.93
Cl 0.2852 0.8467 0.6481  1 U 2.77, 2 Na 2.80-2.97
Cl 0.4141 0.7630 0.0789  1 U 2.77, 2 Na 2.84-2.93
Cl 0.6481 0.2852 0.8467  1 U 2.77, 2 Na 2.80-2.97
Cl 0.7630 0.0789 0.4141  1 U 2.77, 2 Na 2.84-2.93
Cl 0.8467 0.6481 0.2852  1 U 2.77, 2 Na 2.80-2.97

Output
The calculation puts the formation energy (no corrections) at -1596 meV per atom. As for the space-group type: R3 (146). For the density, the calculation gives 3.8 g/cm³.

---

[11]
This record from Alexandria describes a relaxed NaUTl2Cl8 crystal. The functional is PBE.

Cell: 6.9377 7.0187 9.1845 Å, 89.82 89.95 84.44°
Last column: nearest neighbours and their distance in Å.
Sites, in units of the cell vectors:
Na 0.0000 0.0000 0.0000  2 Cl 2.67
U 0.0000 0.0000 0.5000  6 Cl 2.52-2.55
Tl 0.4980 0.5009 0.7711  2 Cl 2.93
Tl 0.5020 0.4991 0.2289  2 Cl 2.93
Cl 0.1144 0.2165 0.3010  1 U 2.55
Cl 0.1164 0.2124 0.6998  1 U 2.55
Cl 0.3080 0.7404 0.0008  1 Na 2.67, 2 Tl 2.93
Cl 0.3273 0.8082 0.4984  1 U 2.52
Cl 0.6727 0.1918 0.5016  1 U 2.52
Cl 0.6920 0.2596 0.9992  1 Na 2.67, 2 Tl 2.93
Cl 0.8836 0.7876 0.3002  1 U 2.55
Cl 0.8856 0.7835 0.6990  1 U 2.55

Output
The calculation puts the formation energy (no corrections) at -1451 meV per atom. As for the space-group type: P-1 (2). For the density, the calculation gives 3.6 g/cm³.

---

[12]
This record from Alexandria describes a relaxed NaTl3V2Cl9 crystal. The functional is PBE.

Cell: 7.1357 7.1357 8.8048 Å, 90.00 90.00 120.00°
Last column: nearest neighbours and their distance in Å.
Sites, in units of the cell vectors:
Na 0.0000 0.0000 0.0000  6 Cl 2.71
Tl 0.0000 0.0000 0.5000  12 Cl 3.53-3.57
Tl 0.3333 0.6667 0.1454  12 Cl 3.49-3.74
Tl 0.6667 0.3333 0.8546  12 Cl 3.49-3.74
V 0.3333 0.6667 0.6599  6 Cl 2.38-2.50
V 0.6667 0.3333 0.3401  6 Cl 2.38-2.50
Cl 0.0000 0.5000 0.5000  2 V 2.50
Cl 0.1759 0.3518 0.8161  1 V 2.38
Cl 0.1759 0.8241 0.8161  1 V 2.38
Cl 0.3518 0.1759 0.1839  1 V 2.38
Cl 0.5000 0.0000 0.5000  2 V 2.50
Cl 0.5000 0.5000 0.5000  2 V 2.50
Cl 0.6482 0.8241 0.8161  1 V 2.38
Cl 0.8241 0.1759 0.1839  1 V 2.38
Cl 0.8241 0.6482 0.1839  1 V 2.38

Output
The density of states at the Fermi level is 12.546 states/eV per cell. The calculation puts the formation energy (no corrections) at -1193 meV per atom. As for the space-group type: P-3m1 (164). For the density, the calculation gives 4.5 g/cm³.